Record 1
# TbDyYZr

TbDyYZr after structural relaxation (PBE-GGA, Alexandria via LeMat-Bulk).

Unit cell a=5.5135 b=5.5135 c=5.5135 alpha=60.00 beta=60.00 gamma=60.00
Positions (direct):
Dy (0.0000, 0.0000, 0.0000)
Tb (0.5000, 0.5000, 0.5000)
Y (0.7500, 0.7500, 0.7500)
Zr (0.2500, 0.2500, 0.2500)

* M_tot: 0.673 μB per atom
* formation energy from the elements: 0.21 eV/atom
* VASP energy: -23.39 eV/cell
* D(E_F): 1.59 states/eV/atom

Record 2
# MnCdPt2

MnCdPt2 after structural relaxation (PBE-GGA, Alexandria via LeMat-Bulk).

Unit cell a=4.5431 b=4.5431 c=4.5431 alpha=60.00 beta=60.00 gamma=60.00
Positions (direct):
Cd (0.5000, 0.5000, 0.5000)
Pt (0.2500, 0.2500, 0.2500)
Pt (0.0000, 0.0000, 0.0000)
Mn (0.7500, 0.7500, 0.7500)

* M_tot: 1.063 μB per atom
* formation energy from the elements: -0.14 eV/atom
* VASP energy: -22.74 eV/cell
* D(E_F): 0.46 states/eV/atom

Record 3
# BeFeCo2Mo

BeFeCo2Mo after structural relaxation (PBE-GGA, Alexandria via LeMat-Bulk).

Unit cell a=3.7560 b=4.1947 c=3.7560 alpha=90.00 beta=90.00 gamma=90.00
Positions (direct):
Co (0.5000, 0.0000, 0.0000)
Co (0.0000, 0.0000, 0.5000)
Mo (0.0000, 0.5000, 0.0000)
Be (0.0000, 0.0000, 0.0000)
Fe (0.5000, 0.5000, 0.5000)

* M_tot: 0.260 μB per atom
* formation energy from the elements: 0.73 eV/atom
* VASP energy: -33.59 eV/cell
* D(E_F): 0.99 states/eV/atom

Record 4
# HoB4W

HoB4W after structural relaxation (PBE-GGA, Alexandria via LeMat-Bulk).

Unit cell a=3.6192 b=6.0313 c=11.6488 alpha=90.00 beta=90.00 gamma=90.00
Positions (direct):
W (0.0000, 0.6312, 0.0846)
Ho (0.0000, 0.6272, 0.3505)
W (0.0000, 0.3688, 0.9154)
B (0.5000, 0.2876, 0.3135)
B (0.5000, 0.1332, 0.9680)
B (0.5000, 0.0233, 0.6936)
B (0.5000, 0.8668, 0.0320)
B (0.5000, 0.8859, 0.4524)
Ho (0.0000, 0.3728, 0.6495)
B (0.5000, 0.3668, 0.4680)
B (0.5000, 0.6332, 0.5320)
B (0.5000, 0.5233, 0.8064)
B (0.5000, 0.2124, 0.8135)
B (0.5000, 0.7876, 0.1865)
B (0.5000, 0.6141, 0.9524)
W (0.0000, 0.1312, 0.4154)
Ho (0.0000, 0.8728, 0.8505)
B (0.5000, 0.3859, 0.0476)
B (0.5000, 0.9767, 0.3064)
W (0.0000, 0.8688, 0.5846)
Ho (0.0000, 0.1272, 0.1495)
B (0.5000, 0.7124, 0.6865)
B (0.5000, 0.1141, 0.5476)
B (0.5000, 0.4767, 0.1936)

* M_tot: 0.000 μB per atom
* formation energy from the elements: -0.60 eV/atom
* VASP energy: -191.40 eV/cell
* D(E_F): 0.01 states/eV/atom

Record 5
# MnCoReCSBr

MnCoReCSBr after structural relaxation (PBE-GGA, Alexandria via LeMat-Bulk).

Unit cell a=4.1313 b=3.0190 c=15.6454 alpha=90.00 beta=103.69 gamma=90.00
Positions (direct):
S (0.5710, 0.0000, 0.2629)
C (0.1652, 0.0000, 0.4190)
Re (0.3584, 0.5000, 0.3541)
C (0.1652, 0.5000, 0.9190)
Br (0.8549, 0.0000, 0.5869)
S (0.5710, 0.5000, 0.7629)
Co (0.0375, 0.5000, 0.7258)
Mn (0.9751, 0.5000, 0.4621)
Co (0.0375, 0.0000, 0.2258)
Br (0.8549, 0.5000, 0.0869)
Mn (0.9751, 0.0000, 0.9621)
Re (0.3584, 0.0000, 0.8541)

* M_tot: 0.292 μB per atom
* formation energy (no corrections): 0.21 eV/atom
* ΔE to the lowest computed polymorph: 165 kJ/mol of formula units
* VASP energy: -85.03 eV/cell
* D(E_F): 0.52 states/eV/atom

Record 6
# Tb5Pm2NdMg

Tb5Pm2NdMg after structural relaxation (PBE-GGA, Alexandria via LeMat-Bulk).

Unit cell a=5.4943 b=10.4290 c=10.6468 alpha=90.00 beta=90.00 gamma=105.27
Positions (direct):
Pm (0.1150, 0.2300, 0.2996)
Nd (0.7945, 0.5889, 0.5086)
Mg (0.5939, 0.1877, 0.0065)
Tb (0.2909, 0.5817, 0.7090)
Pm (0.8850, 0.7700, 0.2179)
Tb (0.4994, 0.9988, 0.7575)
Tb (0.5006, 0.0012, 0.2575)
Tb (0.6145, 0.2290, 0.5086)
Tb (0.2901, 0.5801, 0.3076)
Tb (0.9863, 0.9726, 0.5086)
Nd (0.2055, 0.4111, 0.0086)
Tb (0.0137, 0.0274, 0.0086)
Tb (0.7099, 0.4199, 0.8076)
Tb (0.7091, 0.4183, 0.2090)
Mg (0.4061, 0.8123, 0.5065)
Pm (0.1150, 0.2300, 0.7179)
Pm (0.8850, 0.7700, 0.7996)
Tb (0.3855, 0.7710, 0.0086)

* M_tot: 0.000 μB per atom
* formation energy from the elements: 0.10 eV/atom
* VASP energy: -76.30 eV/cell
* D(E_F): 1.45 states/eV/atom

Record 7
# Sm6Ru2AuCl3

Sm6Ru2AuCl3 after structural relaxation (PBE-GGA, Alexandria via LeMat-Bulk).

Unit cell a=7.0851 b=7.0851 c=7.8809 alpha=98.41 beta=98.41 gamma=120.16
Positions (direct):
Cl (0.5000, 0.5000, 0.5000)
Ru (0.3336, 0.6664, 0.0000)
Au (0.0000, 0.0000, 0.0000)
Cl (0.1761, 0.8239, 0.5000)
Sm (0.2911, 0.2911, 0.7943)
Ru (0.6664, 0.3336, 0.0000)
Sm (0.0678, 0.4248, 0.2070)
Cl (0.8239, 0.1761, 0.5000)
Sm (0.7089, 0.7089, 0.2057)
Sm (0.5752, 0.9322, 0.7930)
Sm (0.4248, 0.0678, 0.2070)
Sm (0.9322, 0.5752, 0.7930)

* M_tot: 0.000 μB per atom
* formation energy (no corrections): -1.00 eV/atom
* VASP energy: -67.70 eV/cell
* D(E_F): 0.30 states/eV/atom

Record 8
# Ac5La12Ho

Ac5La12Ho after structural relaxation (PBE-GGA, Alexandria via LeMat-Bulk).

Unit cell a=12.3559 b=10.9491 c=6.2907 alpha=89.52 beta=89.30 gamma=55.66
Positions (direct):
La (0.4805, 0.6667, 0.4486)
La (0.9837, 0.6704, 0.0499)
La (0.3057, 0.9993, 0.0734)
Ac (0.6644, 0.6716, 0.0006)
La (0.8183, 0.0005, 0.4257)
La (0.0163, 0.3296, 0.9501)
La (0.5195, 0.3333, 0.5514)
La (0.8530, 0.6665, 0.5522)
La (0.1470, 0.3335, 0.4478)
Ac (0.5000, 0.0000, 0.5000)
Ac (0.1631, 0.6735, 0.5002)
Ho (0.0000, 0.0000, 0.0000)
Ac (0.3356, 0.3284, 0.9994)
La (0.3460, 0.6702, 0.9505)
La (0.6943, 0.0007, 0.9266)
Ac (0.8369, 0.3265, 0.4998)
La (0.6540, 0.3298, 0.0495)
La (0.1817, 0.9995, 0.5743)

* M_tot: 0.000 μB per atom
* formation energy from the elements: 0.07 eV/atom
* VASP energy: -82.93 eV/cell
* D(E_F): 1.56 states/eV/atom

Record 9
# KLi4W

KLi4W after structural relaxation (PBE-GGA, Alexandria via LeMat-Bulk).

Unit cell a=5.8002 b=5.8002 c=5.8002 alpha=60.00 beta=60.00 gamma=60.00
Positions (direct):
Li (0.3785, 0.3785, 0.8644)
W (0.7500, 0.7500, 0.7500)
Li (0.8644, 0.3785, 0.3785)
K (0.0000, 0.0000, 0.0000)
Li (0.3785, 0.8644, 0.3785)
Li (0.3785, 0.3785, 0.3785)

* M_tot: 0.684 μB per atom
* formation energy from the elements: 0.90 eV/atom
* VASP energy: -16.31 eV/cell
* D(E_F): 0.50 states/eV/atom

Record 10
# Nd3OsCl3

Nd3OsCl3 after structural relaxation (PBE-GGA, Alexandria via LeMat-Bulk).

Unit cell a=4.2387 b=8.5357 c=11.9878 alpha=89.90 beta=90.00 gamma=90.00
Positions (direct):
Cl (0.2500, 0.4373, 0.3747)
Nd (0.2500, 0.8942, 0.1680)
Nd (0.7500, 0.1497, 0.3577)
Cl (0.2500, 0.3270, 0.8432)
Cl (0.7500, 0.6730, 0.1568)
Nd (0.2500, 0.2813, 0.5980)
Nd (0.7500, 0.7187, 0.4020)
Cl (0.2500, 0.8876, 0.9000)
Nd (0.7500, 0.1058, 0.8320)
Os (0.2500, 0.9443, 0.4023)
Cl (0.7500, 0.5627, 0.6253)
Cl (0.7500, 0.1124, 0.1000)
Nd (0.2500, 0.8503, 0.6423)
Os (0.7500, 0.0557, 0.5977)

* M_tot: 0.000 μB per atom
* formation energy (no corrections): -1.39 eV/atom
* VASP energy: -81.66 eV/cell
* D(E_F): 0.40 states/eV/atom

Record 11
# TiTcBiRu

TiTcBiRu after structural relaxation (PBE-GGA, Alexandria via LeMat-Bulk).

Unit cell a=4.5464 b=4.5464 c=4.5464 alpha=60.00 beta=60.00 gamma=60.00
Positions (direct):
Tc (0.5000, 0.5000, 0.5000)
Bi (0.2500, 0.2500, 0.2500)
Ti (0.7500, 0.7500, 0.7500)
Ru (0.0000, 0.0000, 0.0000)

* M_tot: 0.000 μB per atom
* formation energy from the elements: -0.10 eV/atom
* VASP energy: -31.81 eV/cell
* D(E_F): 0.07 states/eV/atom

Record 12
# AcLa3TbPr

AcLa3TbPr after structural relaxation (PBE-GGA, Alexandria via LeMat-Bulk).

Unit cell a=6.0026 b=11.0226 c=7.1262 alpha=91.29 beta=90.00 gamma=105.80
Positions (direct):
La (0.4846, 0.9693, 0.2508)
La (0.5154, 0.0307, 0.7492)
Tb (0.3589, 0.7179, 0.5054)
Pr (0.9432, 0.8865, 0.7210)
La (0.2188, 0.4375, 0.2816)
Ac (0.6489, 0.2977, 0.0349)
La (0.1594, 0.3189, 0.7493)
Pr (0.0568, 0.1135, 0.2790)
Ac (0.3511, 0.7023, 0.9651)
La (0.8406, 0.6811, 0.2507)
La (0.7812, 0.5625, 0.7184)
Tb (0.6411, 0.2821, 0.4946)

* M_tot: 0.000 μB per atom
* formation energy from the elements: 0.16 eV/atom
* VASP energy: -54.69 eV/cell
* D(E_F): 1.44 states/eV/atom

Record 13
# Ac2TcAgO6

Ac2TcAgO6 after structural relaxation (PBE-GGA, Alexandria via LeMat-Bulk).

Unit cell a=5.2907 b=5.6352 c=5.6352 alpha=90.00 beta=90.00 gamma=90.00
Positions (direct):
Ac (0.0107, 0.0000, 0.5000)
O (0.7396, 0.2230, 0.7770)
O (0.2478, 0.0000, 0.0000)
Tc (0.5859, 0.0000, 0.0000)
O (0.1116, 0.5000, 0.5000)
O (0.7396, 0.7770, 0.7770)
Ag (0.5217, 0.5000, 0.5000)
O (0.7396, 0.2230, 0.2230)
O (0.7396, 0.7770, 0.2230)
Ac (0.0107, 0.5000, 0.0000)

* M_tot: 0.000 μB per atom
* formation energy (no corrections): -2.04 eV/atom
* VASP energy: -71.58 eV/cell
* D(E_F): 0.07 states/eV/atom

Record 14
# Ba2AcCd9

Ba2AcCd9 after structural relaxation (PBE-GGA, Alexandria via LeMat-Bulk).

Unit cell a=6.2694 b=6.2694 c=10.6886 alpha=72.95 beta=72.95 gamma=60.00
Positions (direct):
Ba (0.8573, 0.8573, 0.4282)
Cd (0.5000, 0.5000, 0.5000)
Cd (0.4171, 0.9240, 0.2418)
Cd (0.5829, 0.0760, 0.7582)
Cd (0.4171, 0.4171, 0.2418)
Ba (0.1427, 0.1427, 0.5718)
Ac (0.0000, 0.0000, 0.0000)
Cd (0.3353, 0.3353, 0.9941)
Cd (0.6647, 0.6647, 0.0059)
Cd (0.0760, 0.5829, 0.7582)
Cd (0.5829, 0.5829, 0.7582)
Cd (0.9240, 0.4171, 0.2418)

* M_tot: 0.000 μB per atom
* formation energy from the elements: -0.25 eV/atom
* VASP energy: -19.23 eV/cell
* D(E_F): 0.74 states/eV/atom

Record 15
# TbCe4Al3

TbCe4Al3 after structural relaxation (PBE-GGA, Alexandria via LeMat-Bulk).

Unit cell a=4.9658 b=5.6939 c=7.4728 alpha=101.06 beta=109.41 gamma=90.00
Positions (direct):
Ce (0.7649, 0.2285, 0.5298)
Ce (0.6469, 0.5712, 0.2939)
Al (0.8721, 0.7945, 0.7441)
Ce (0.3531, 0.4288, 0.7061)
Ce (0.2351, 0.7715, 0.4702)
Al (0.1279, 0.2055, 0.2559)
Tb (0.5000, 0.0000, 0.0000)
Al (0.0000, 0.5000, 0.0000)

* M_tot: 0.050 μB per atom
* formation energy from the elements: -0.18 eV/atom
* VASP energy: -41.00 eV/cell
* D(E_F): 2.08 states/eV/atom

Record 16
# Y2SbIr

Y2SbIr after structural relaxation (PBE-GGA, Alexandria via LeMat-Bulk).

Unit cell a=5.0106 b=5.0106 c=5.0106 alpha=60.00 beta=60.00 gamma=60.00
Positions (direct):
Y (0.0000, 0.0000, 0.0000)
Sb (0.7500, 0.7500, 0.7500)
Y (0.2500, 0.2500, 0.2500)
Ir (0.5000, 0.5000, 0.5000)

* M_tot: 0.000 μB per atom
* formation energy (no corrections): -0.28 eV/atom
* VASP energy: -27.02 eV/cell
* D(E_F): 0.88 states/eV/atom

Record 17
# BaPdO3

BaPdO3 after structural relaxation (PBE-GGA, Alexandria via LeMat-Bulk).

Unit cell a=4.5241 b=4.5241 c=4.5241 alpha=90.00 beta=90.00 gamma=90.00
Positions (direct):
O (0.0000, 0.5000, 0.0000)
Pd (0.5000, 0.5000, 0.5000)
O (0.0000, 0.0000, 0.5000)
O (0.5000, 0.0000, 0.0000)
Ba (0.0000, 0.0000, 0.0000)

* M_tot: 0.324 μB per atom
* formation energy (no corrections): 0.38 eV/atom
* VASP energy: -20.09 eV/cell
* D(E_F): 2.08 states/eV/atom

Record 18
# Nd8Ga2Tc

Nd8Ga2Tc after structural relaxation (PBE-GGA, Alexandria via LeMat-Bulk).

Unit cell a=4.9732 b=8.6574 c=8.9105 alpha=119.07 beta=106.20 gamma=90.00
Positions (direct):
Ga (0.8062, 0.3062, 0.6124)
Nd (0.3420, 0.1132, 0.6840)
Nd (0.1212, 0.1212, 0.2425)
Nd (0.0000, 0.3312, 0.0000)
Nd (0.6580, 0.8868, 0.3160)
Ga (0.1938, 0.6938, 0.3876)
Tc (0.5000, 0.0000, 0.0000)
Nd (0.3420, 0.5709, 0.6840)
Nd (0.0000, 0.6688, 0.0000)
Nd (0.6580, 0.4291, 0.3160)
Nd (0.8788, 0.8788, 0.7575)

* M_tot: 0.000 μB per atom
* formation energy from the elements: -0.08 eV/atom
* ΔE to the lowest computed polymorph: 92 kJ/mol of formula units
* VASP energy: -55.49 eV/cell
* D(E_F): 0.95 states/eV/atom

Record 19
# Sr3SnW

Sr3SnW after structural relaxation (PBE-GGA, Alexandria via LeMat-Bulk).

Unit cell a=5.7846 b=5.7846 c=5.7846 alpha=90.00 beta=90.00 gamma=90.00
Positions (direct):
W (0.0000, 0.0000, 0.0000)
Sn (0.5000, 0.5000, 0.5000)
Sr (0.0000, 0.5000, 0.0000)
Sr (0.5000, 0.0000, 0.0000)
Sr (0.0000, 0.0000, 0.5000)

* M_tot: 0.000 μB per atom
* formation energy from the elements: 0.92 eV/atom
* ΔE to the lowest computed polymorph: 0 kJ/mol of formula units
* VASP energy: -17.40 eV/cell
* D(E_F): 1.37 states/eV/atom

Record 20
# Tb4NdErS8

Tb4NdErS8 after structural relaxation (PBE-GGA, Alexandria via LeMat-Bulk).

Unit cell a=8.1211 b=8.1211 c=8.0993 alpha=59.91 beta=59.91 gamma=60.00
Positions (direct):
Er (0.9995, 0.9995, 0.0015)
Tb (0.9993, 0.9993, 0.4996)
S (0.2398, 0.2398, 0.2805)
Nd (0.3756, 0.3756, 0.8732)
S (0.7566, 0.7566, 0.7301)
S (0.7600, 0.7600, 0.2533)
S (0.2368, 0.2368, 0.7430)
Tb (0.5018, 0.9993, 0.4996)
S (0.2267, 0.7600, 0.2533)
Tb (0.6244, 0.6244, 0.1269)
S (0.7834, 0.2368, 0.7430)
Tb (0.9993, 0.5018, 0.4996)
S (0.2368, 0.7834, 0.7430)
S (0.7600, 0.2267, 0.2533)

* M_tot: 0.000 μB per atom
* formation energy (no corrections): -1.93 eV/atom
* VASP energy: -87.88 eV/cell
* D(E_F): 0.59 states/eV/atom

Record 21
# NaBi2Ru2

NaBi2Ru2 after structural relaxation (PBE-GGA, Alexandria via LeMat-Bulk).

Unit cell a=8.0836 b=8.0836 c=3.1991 alpha=90.00 beta=90.00 gamma=90.00
Positions (direct):
Ru (0.3630, 0.1370, 0.5000)
Bi (0.3456, 0.8456, 0.0000)
Ru (0.1370, 0.6370, 0.5000)
Bi (0.6544, 0.1544, 0.0000)
Na (0.0000, 0.0000, 0.0000)
Bi (0.8456, 0.6544, 0.0000)
Na (0.5000, 0.5000, 0.0000)
Ru (0.6370, 0.8630, 0.5000)
Ru (0.8630, 0.3630, 0.5000)
Bi (0.1544, 0.3456, 0.0000)

* M_tot: 0.000 μB per atom
* formation energy from the elements: 0.32 eV/atom
* ΔE to the lowest computed polymorph: 63 kJ/mol of formula units
* VASP energy: -52.04 eV/cell
* D(E_F): 0.81 states/eV/atom

Record 22
# CaTl2F8

CaTl2F8 after structural relaxation (PBE-GGA, Alexandria via LeMat-Bulk).

Unit cell a=5.3531 b=5.9432 c=5.9432 alpha=72.56 beta=100.67 gamma=100.67
Positions (direct):
F (0.2504, 0.4373, 0.4373)
F (0.7496, 0.5627, 0.5627)
F (0.2025, 0.8251, 0.8251)
F (0.7975, 0.1749, 0.1749)
F (0.6998, 0.6618, 0.0492)
Tl (0.4408, 0.6776, 0.6776)
F (0.3002, 0.3382, 0.9508)
F (0.6998, 0.0492, 0.6618)
Ca (0.0000, 0.0000, 0.0000)
Tl (0.5592, 0.3224, 0.3224)
F (0.3002, 0.9508, 0.3382)

* M_tot: 0.010 μB per atom
* formation energy (no corrections): -2.38 eV/atom
* ΔE to the lowest computed polymorph: 0 kJ/mol of formula units
* VASP energy: -47.89 eV/cell
* D(E_F): 0.00 states/eV/atom